No. 1
# AcTbPm3Ho

A relaxed structure of AcTbPm3Ho (PBE, the Alexandria database).

a = 8.208 Å, b = 5.204 Å, c = 10.390 Å
α = 90.00°, β = 108.64°, γ = 90.00°
Positions (direct):
Ac 0.170 0.250 0.293
Ac 0.830 0.750 0.707
Tb 0.496 0.750 0.877
Tb 0.504 0.250 0.123
Pm 0.172 0.750 0.547
Pm 0.173 0.250 0.793
Pm 0.173 0.750 0.040
Pm 0.827 0.250 0.960
Pm 0.827 0.750 0.207
Pm 0.828 0.250 0.453
Ho 0.497 0.250 0.628
Ho 0.503 0.750 0.372

Output
Its formation energy from the elements is 0.0396 eV/atom.



No. 2
# AcTb2PmHo4

A relaxed structure of AcTb2PmHo4 (PBE, the Alexandria database).

a = 9.615 Å, b = 9.615 Å, c = 6.911 Å
α = 111.05°, β = 111.05°, γ = 88.58°
Positions (direct):
Ac 0.000 0.500 0.000
Ac 0.500 0.000 0.500
Tb 0.000 0.000 0.000
Tb 0.000 0.000 0.500
Tb 0.000 0.500 0.500
Tb 0.500 0.000 0.000
Pm 0.500 0.500 0.000
Pm 0.500 0.500 0.500
Ho 0.238 0.256 0.496
Ho 0.247 0.753 0.513
Ho 0.247 0.753 0.987
Ho 0.256 0.238 0.996
Ho 0.744 0.762 0.004
Ho 0.753 0.247 0.013
Ho 0.753 0.247 0.487
Ho 0.762 0.744 0.504

Output
Its formation energy from the elements is 0.4444 eV/atom.



No. 3
# AcTbPmHo2

A relaxed structure of AcTbPmHo2 (PBE, the Alexandria database).

a = 9.314 Å, b = 9.314 Å, c = 6.436 Å
α = 90.00°, β = 90.00°, γ = 138.91°
Positions (direct):
Ac 0.158 0.842 0.750
Ac 0.842 0.158 0.250
Tb 0.274 0.726 0.250
Tb 0.726 0.274 0.750
Pm 0.348 0.652 0.750
Pm 0.652 0.348 0.250
Ho 0.256 0.256 0.000
Ho 0.256 0.256 0.500
Ho 0.744 0.744 0.000
Ho 0.744 0.744 0.500

Output
Its formation energy from the elements is 0.3790 eV/atom.



no.,uncorrected energy (eV for the cell shown),calculated density (Mg/m³)
1,-54.66,7.786
2,-65.75,8.113
3,-41.50,7.791